Compound: NdDy3HoTh
Source: Alexandria via LeMat-Bulk
Functional: GGA-PBE
Structure: optimized geometry

total DFT energy (no corrections): -5.0680 eV/atom
symmetry: P2_1/m, No. 11
crystal system: monoclinic
spin magnetization: 0.00 μB/atom
energy of formation: 0.0272 eV per atom

a = 5.063 Å, b = 7.974 Å, c = 10.677 Å
α = 116.21°, β = 90.00°, γ = 90.00°
Positions (direct):
Nd1 0.250 0.124 0.292
Nd2 0.750 0.876 0.708
Dy1 0.750 0.868 0.043
Dy2 0.250 0.132 0.957
Dy3 0.250 0.626 0.456
Dy4 0.750 0.374 0.544
Dy5 0.750 0.383 0.207
Dy6 0.250 0.617 0.793
Ho1 0.250 0.129 0.628
Ho2 0.750 0.871 0.372
Th1 0.250 0.620 0.122
Th2 0.750 0.380 0.878